#one
# PBE SrSnCl3, relaxed
data_SrSnCl3
_chemical_formula_sum 'Sr1 Sn1 Cl3'
_cell_length_a 5.5892
_cell_length_b 5.5892
_cell_length_c 5.5892
_cell_angle_alpha 90.00
_cell_angle_beta 90.00
_cell_angle_gamma 90.00
_space_group_name_H-M_alt 'P 1'
_space_group_IT_number 1
_space_group_name_Hall 'P 1'
loop_
_atom_site_label
_atom_site_type_symbol
_atom_site_fract_x
_atom_site_fract_y
_atom_site_fract_z
_atom_site_occupancy
Sr1 Sr 0.5000 0.5000 0.5000 1
Sn1 Sn 0.0000 0.0000 0.0000 1
Cl1 Cl 0.0000 0.5000 0.0000 1
Cl2 Cl 0.0000 0.0000 0.5000 1
Cl3 Cl 0.5000 0.0000 0.0000 1
# Density of states at the Fermi level (states/eV per cell): 3.81
# Crystal system: cubic

=====

#two
# PBE SrSnCl3, relaxed
data_SrSnCl3
_chemical_formula_sum 'Sr1 Sn1 Cl3'
_cell_length_a 5.6153
_cell_length_b 5.6153
_cell_length_c 5.6153
_cell_angle_alpha 90.00
_cell_angle_beta 90.00
_cell_angle_gamma 90.00
_space_group_name_H-M_alt 'P 1'
_space_group_IT_number 1
_space_group_name_Hall 'P 1'
loop_
_atom_site_label
_atom_site_type_symbol
_atom_site_fract_x
_atom_site_fract_y
_atom_site_fract_z
_atom_site_occupancy
Sr1 Sr 0.0000 0.0000 0.0000 1
Sn1 Sn 0.5000 0.5000 0.5000 1
Cl1 Cl 0.0000 0.5000 0.0000 1
Cl2 Cl 0.0000 0.0000 0.5000 1
Cl3 Cl 0.5000 0.0000 0.0000 1
# Density of states at the Fermi level (states/eV per cell): 3.00
# Crystal system: cubic

=====

Q: Which of them is the most stable? A: #two.

=====

#one
# PBE TaSn3Cl, relaxed
data_TaSn3Cl
_chemical_formula_sum 'Ta1 Sn3 Cl1'
_cell_length_a 5.1371
_cell_length_b 5.1371
_cell_length_c 5.1371
_cell_angle_alpha 90.00
_cell_angle_beta 90.00
_cell_angle_gamma 90.00
_space_group_name_H-M_alt 'P 1'
_space_group_IT_number 1
_space_group_name_Hall 'P 1'
loop_
_atom_site_label
_atom_site_type_symbol
_atom_site_fract_x
_atom_site_fract_y
_atom_site_fract_z
_atom_site_occupancy
Cl1 Cl 0.0000 0.0000 0.0000 1
Sn1 Sn 0.0000 0.5000 0.0000 1
Sn2 Sn 0.0000 0.0000 0.5000 1
Sn3 Sn 0.5000 0.0000 0.0000 1
Ta1 Ta 0.5000 0.5000 0.5000 1
# Density of states at the Fermi level (states/eV per cell): 3.40
# Crystal system: cubic

=====

#two
# PBE TaSn3Cl, relaxed
data_TaSn3Cl
_chemical_formula_sum 'Ta1 Sn3 Cl1'
_cell_length_a 5.4025
_cell_length_b 5.4025
_cell_length_c 5.4025
_cell_angle_alpha 90.00
_cell_angle_beta 90.00
_cell_angle_gamma 90.00
_space_group_name_H-M_alt 'P 1'
_space_group_IT_number 1
_space_group_name_Hall 'P 1'
loop_
_atom_site_label
_atom_site_type_symbol
_atom_site_fract_x
_atom_site_fract_y
_atom_site_fract_z
_atom_site_occupancy
Cl1 Cl 0.5000 0.5000 0.5000 1
Sn1 Sn 0.0000 0.5000 0.0000 1
Sn2 Sn 0.0000 0.0000 0.5000 1
Sn3 Sn 0.5000 0.0000 0.0000 1
Ta1 Ta 0.0000 0.0000 0.0000 1
# Density of states at the Fermi level (states/eV per cell): 3.54
# Crystal system: cubic

=====

Q: Which of them is the most stable? A: #two.